(1)
PrZn2Co: optimized geometry, GGA-PBE.

abc: 5.689 5.689 5.689
angles: 42.97 42.97 42.97
Element x y z (fractional)
Pr1 0.000 0.000 0.000
Zn1 0.203 0.203 0.203
Zn2 0.797 0.797 0.797
Co1 0.500 0.500 0.500

---

(2)
PrZn8Co2: optimized geometry, GGA-PBE.

abc: 5.546 5.546 7.631
angles: 90.00 90.00 90.00
Element x y z (fractional)
Pr1 0.000 0.000 0.000
Zn1 0.253 0.253 0.317
Zn2 0.253 0.253 0.683
Zn3 0.253 0.747 0.317
Zn4 0.253 0.747 0.683
Zn5 0.747 0.253 0.317
Zn6 0.747 0.253 0.683
Zn7 0.747 0.747 0.317
Zn8 0.747 0.747 0.683
Co1 0.000 0.500 0.500
Co2 0.500 0.000 0.500

---

(3)
PrZnCo: optimized geometry, GGA-PBE.

abc: 5.958 5.542 7.718
angles: 90.00 112.07 90.00
Element x y z (fractional)
Pr1 0.190 0.112 0.375
Pr2 0.190 0.388 0.875
Pr3 0.810 0.612 0.125
Pr4 0.810 0.888 0.625
Zn1 0.404 0.605 0.301
Zn2 0.404 0.895 0.801
Zn3 0.596 0.105 0.199
Zn4 0.596 0.395 0.699
Co1 0.179 0.607 0.528
Co2 0.179 0.893 0.028
Co3 0.821 0.107 0.972
Co4 0.821 0.393 0.472

---

(4)
Pr3Zn2Co: optimized geometry, GGA-PBE.

abc: 12.499 3.920 12.407
angles: 90.00 90.00 90.00
Element x y z (fractional)
Pr1 0.039 0.250 0.129
Pr2 0.122 0.750 0.553
Pr3 0.230 0.250 0.795
Pr4 0.270 0.750 0.295
Pr5 0.378 0.250 0.053
Pr6 0.461 0.750 0.629
Pr7 0.539 0.250 0.371
Pr8 0.622 0.750 0.947
Pr9 0.730 0.250 0.705
Pr10 0.770 0.750 0.205
Pr11 0.878 0.250 0.447
Pr12 0.961 0.750 0.871
Zn1 0.022 0.750 0.319
Zn2 0.190 0.750 0.994
Zn3 0.310 0.250 0.494
Zn4 0.478 0.250 0.819
Zn5 0.522 0.750 0.181
Zn6 0.690 0.750 0.506
Zn7 0.810 0.250 0.006
Zn8 0.978 0.250 0.681
Co1 0.135 0.250 0.383
Co2 0.365 0.750 0.883
Co3 0.635 0.250 0.117
Co4 0.865 0.750 0.617

---

(5)
PrZnCo: optimized geometry, GGA-PBE.

abc: 6.396 6.396 5.123
angles: 104.45 104.45 36.65
Element x y z (fractional)
Pr1 0.121 0.121 0.310
Pr2 0.879 0.879 0.690
Zn1 0.410 0.410 0.225
Zn2 0.590 0.590 0.775
Co1 0.221 0.221 0.887
Co2 0.779 0.779 0.113

---

(6)
PrZn11Co: optimized geometry, GGA-PBE.

abc: 6.841 6.841 6.852
angles: 97.53 97.53 136.94
Element x y z (fractional)
Pr1 0.000 0.000 0.000
Zn1 0.000 0.000 0.500
Zn2 0.000 0.500 0.000
Zn3 0.026 0.370 0.362
Zn4 0.286 0.503 0.773
Zn5 0.370 0.026 0.362
Zn6 0.497 0.714 0.227
Zn7 0.500 0.000 0.000
Zn8 0.503 0.286 0.773
Zn9 0.630 0.974 0.638
Zn10 0.714 0.497 0.227
Zn11 0.974 0.630 0.638
Co1 0.500 0.500 0.500

---

(7)
PrZn3Co: optimized geometry, GGA-PBE.

abc: 4.595 4.595 4.595
angles: 90.00 90.00 90.00
Element x y z (fractional)
Pr1 0.000 0.000 0.000
Zn1 0.000 0.500 0.500
Zn2 0.500 0.000 0.500
Zn3 0.500 0.500 0.000
Co1 0.500 0.500 0.500

---

(8)
Pr12ZnCo6: optimized geometry, GGA-PBE.

abc: 8.705 8.705 8.705
angles: 109.47 109.47 109.47
Element x y z (fractional)
Pr1 0.112 0.807 0.305
Pr2 0.193 0.305 0.498
Pr3 0.193 0.695 0.888
Pr4 0.305 0.112 0.807
Pr5 0.305 0.498 0.193
Pr6 0.498 0.193 0.305
Pr7 0.502 0.807 0.695
Pr8 0.695 0.502 0.807
Pr9 0.695 0.888 0.193
Pr10 0.807 0.305 0.112
Pr11 0.807 0.695 0.502
Pr12 0.888 0.193 0.695
Zn1 0.000 0.000 0.000
Co1 0.111 0.611 0.500
Co2 0.389 0.500 0.889
Co3 0.500 0.111 0.611
Co4 0.500 0.889 0.389
Co5 0.611 0.500 0.111
Co6 0.889 0.389 0.500

---

(9)
Pr5ZnCo2: optimized geometry, GGA-PBE.

abc: 8.774 8.774 8.774
angles: 126.79 126.79 78.60
Element x y z (fractional)
Pr1 0.000 0.000 0.000
Pr2 0.032 0.532 0.838
Pr3 0.194 0.032 0.500
Pr4 0.306 0.806 0.838
Pr5 0.468 0.306 0.500
Pr6 0.500 0.500 0.000
Pr7 0.532 0.694 0.500
Pr8 0.694 0.194 0.162
Pr9 0.806 0.968 0.500
Pr10 0.968 0.468 0.162
Zn1 0.250 0.250 0.000
Zn2 0.750 0.750 0.000
Co1 0.111 0.389 0.500
Co2 0.389 0.889 0.277
Co3 0.611 0.111 0.723
Co4 0.889 0.611 0.500

---

(10)
PrZn10Co2: optimized geometry, GGA-PBE.

abc: 9.008 6.839 6.832
angles: 82.43 48.82 48.75
Element x y z (fractional)
Pr1 0.000 0.000 0.000
Zn1 0.000 0.500 0.000
Zn2 0.014 0.650 0.350
Zn3 0.276 0.508 0.492
Zn4 0.350 0.986 0.014
Zn5 0.492 0.724 0.276
Zn6 0.500 0.000 0.500
Zn7 0.508 0.276 0.724
Zn8 0.650 0.014 0.986
Zn9 0.724 0.492 0.508
Zn10 0.986 0.350 0.650
Co1 0.000 0.000 0.500
Co2 0.500 0.500 0.000

---

(11)
Pr12Zn6Co: optimized geometry, GGA-PBE.

abc: 8.279 8.279 8.279
angles: 93.79 93.79 93.79
Element x y z (fractional)
Pr1 0.032 0.683 0.918
Pr2 0.082 0.968 0.317
Pr3 0.195 0.544 0.426
Pr4 0.317 0.082 0.968
Pr5 0.426 0.195 0.544
Pr6 0.456 0.574 0.805
Pr7 0.544 0.426 0.195
Pr8 0.574 0.805 0.456
Pr9 0.683 0.918 0.032
Pr10 0.805 0.456 0.574
Pr11 0.918 0.032 0.683
Pr12 0.968 0.317 0.082
Zn1 0.148 0.345 0.741
Zn2 0.259 0.852 0.655
Zn3 0.345 0.741 0.148
Zn4 0.655 0.259 0.852
Zn5 0.741 0.148 0.345
Zn6 0.852 0.655 0.259
Co1 0.000 0.000 0.000

---

(12)
Pr3ZnCo: optimized geometry, GGA-PBE.

abc: 5.307 5.307 5.307
angles: 90.00 90.00 90.00
Element x y z (fractional)
Pr1 0.000 0.000 0.500
Pr2 0.000 0.500 0.000
Pr3 0.500 0.000 0.000
Zn1 0.500 0.500 0.500
Co1 0.000 0.000 0.000

Results
The value obtained for the energy above the lowest structure with this stoichiometry is 186 meV per atom.

---

(13)
Pr3ZnCo3: optimized geometry, GGA-PBE.

abc: 5.532 5.532 13.260
angles: 90.00 90.00 134.43
Element x y z (fractional)
Pr1 0.001 0.999 0.750
Pr2 0.294 0.706 0.602
Pr3 0.294 0.706 0.898
Pr4 0.706 0.294 0.102
Pr5 0.706 0.294 0.398
Pr6 0.999 0.001 0.250
Zn1 0.000 0.000 0.000
Zn2 0.000 0.000 0.500
Co1 0.308 0.692 0.250
Co2 0.418 0.582 0.095
Co3 0.418 0.582 0.405
Co4 0.582 0.418 0.595
Co5 0.582 0.418 0.905
Co6 0.692 0.308 0.750

---

(14)
PrZn2Co: optimized geometry, GGA-PBE.

abc: 14.850 7.262 5.427
angles: 90.00 90.00 90.00
Element x y z (fractional)
Pr1 0.101 0.250 0.240
Pr2 0.138 0.750 0.048
Pr3 0.362 0.250 0.548
Pr4 0.399 0.750 0.740
Pr5 0.601 0.250 0.260
Pr6 0.638 0.750 0.452
Pr7 0.862 0.250 0.952
Pr8 0.899 0.750 0.760
Zn1 0.046 0.062 0.723
Zn2 0.046 0.438 0.723
Zn3 0.208 0.550 0.563
Zn4 0.208 0.950 0.563
Zn5 0.292 0.050 0.063
Zn6 0.292 0.450 0.063
Zn7 0.454 0.562 0.223
Zn8 0.454 0.938 0.223
Zn9 0.546 0.062 0.777
Zn10 0.546 0.438 0.777
Zn11 0.708 0.550 0.937
Zn12 0.708 0.950 0.937
Zn13 0.792 0.050 0.437
Zn14 0.792 0.450 0.437
Zn15 0.954 0.562 0.277
Zn16 0.954 0.938 0.277
Co1 0.071 0.750 0.510
Co2 0.193 0.250 0.802
Co3 0.307 0.750 0.302
Co4 0.429 0.250 0.010
Co5 0.571 0.750 0.990
Co6 0.693 0.250 0.698
Co7 0.807 0.750 0.198
Co8 0.929 0.250 0.490

---

(15)
Pr3Zn3Co2: optimized geometry, GGA-PBE.

abc: 6.036 6.036 16.687
angles: 90.00 90.00 143.25
Element x y z (fractional)
Pr1 0.090 0.910 0.750
Pr2 0.146 0.854 0.069
Pr3 0.146 0.854 0.431
Pr4 0.854 0.146 0.569
Pr5 0.854 0.146 0.931
Pr6 0.910 0.090 0.250
Zn1 0.190 0.810 0.250
Zn2 0.424 0.576 0.088
Zn3 0.424 0.576 0.412
Zn4 0.576 0.424 0.588
Zn5 0.576 0.424 0.912
Zn6 0.810 0.190 0.750
Co1 0.412 0.588 0.682
Co2 0.412 0.588 0.818
Co3 0.588 0.412 0.182
Co4 0.588 0.412 0.318

---

(16)
Pr4ZnCo3: optimized geometry, GGA-PBE.

abc: 4.108 4.144 11.118
angles: 90.00 90.00 90.00
Element x y z (fractional)
Pr1 0.000 0.000 0.000
Pr2 0.000 0.500 0.277
Pr3 0.500 0.000 0.488
Pr4 0.500 0.500 0.773
Zn1 0.000 0.000 0.695
Co1 0.000 0.500 0.569
Co2 0.500 0.000 0.186
Co3 0.500 0.500 0.094

---

(17)
PrZn8Co4: optimized geometry, GGA-PBE.

abc: 6.678 6.678 6.678
angles: 97.94 97.94 136.37
Element x y z (fractional)
Pr1 0.000 0.000 0.000
Zn1 0.000 0.343 0.343
Zn2 0.000 0.657 0.657
Zn3 0.270 0.500 0.770
Zn4 0.343 0.000 0.343
Zn5 0.500 0.270 0.770
Zn6 0.500 0.730 0.230
Zn7 0.657 0.000 0.657
Zn8 0.730 0.500 0.230
Co1 0.000 0.000 0.500
Co2 0.000 0.500 0.000
Co3 0.500 0.000 0.000
Co4 0.500 0.500 0.500

---

(18)
Pr8Zn2Co: optimized geometry, GGA-PBE.

abc: 9.431 9.431 6.930
angles: 100.06 100.06 32.22
Element x y z (fractional)
Pr1 0.025 0.025 0.282
Pr2 0.202 0.202 0.814
Pr3 0.348 0.348 0.540
Pr4 0.410 0.410 0.061
Pr5 0.590 0.590 0.939
Pr6 0.652 0.652 0.460
Pr7 0.798 0.798 0.186
Pr8 0.975 0.975 0.718
Zn1 0.194 0.194 0.245
Zn2 0.806 0.806 0.755
Co1 0.500 0.500 0.500

Results
The value obtained for the energy above the lowest structure with this stoichiometry is 0 meV per atom.

---

(19)
Pr2ZnCo2: optimized geometry, GGA-PBE.

abc: 5.571 5.571 7.790
angles: 102.71 102.71 59.68
Element x y z (fractional)
Pr1 0.009 0.702 0.855
Pr2 0.298 0.991 0.645
Pr3 0.702 0.009 0.355
Pr4 0.991 0.298 0.145
Zn1 0.372 0.628 0.250
Zn2 0.628 0.372 0.750
Co1 0.202 0.503 0.492
Co2 0.497 0.798 0.008
Co3 0.503 0.202 0.992
Co4 0.798 0.497 0.508

---

(20)
Pr4Zn2Co: optimized geometry, GGA-PBE.

abc: 8.360 8.360 8.360
angles: 143.24 143.24 52.96
Element x y z (fractional)
Pr1 0.000 0.500 0.500
Pr2 0.186 0.186 0.000
Pr3 0.500 0.000 0.500
Pr4 0.814 0.814 0.000
Zn1 0.384 0.384 0.000
Zn2 0.616 0.616 0.000
Co1 0.000 0.000 0.000

---

| no. | magnetic moment (Bohr magnetons per cell) | ΔE_f (eV per atom) | E_tot (eV/atom) |
| --- | --- | --- | --- |
| 1 | 0.0 | -0.1209 | -3.729 |
| 2 | 0.0 | 0.2630 | -2.390 |
| 3 | 2.0 | -0.1648 | -4.551 |
| 4 | 0.0 | -0.1941 | -4.193 |
| 5 | 0.0 | -0.1903 | -4.577 |
| 6 | 0.0 | -0.1795 | -2.172 |
| 7 | 0.4 | -0.1387 | -3.280 |
| 8 | 0.0 | -0.0727 | -5.402 |
| 9 | 0.0 | -0.0857 | -5.009 |
| 10 | 2.5 | -0.1628 | -2.604 |
| 11 | 0.0 | -0.0841 | -3.879 |
| 12 | 0.0 | 0.0698 | -4.474 |
| 13 | 2.1 | -0.1094 | -5.385 |
| 14 | 0.0 | -0.2259 | -3.834 |
| 15 | 0.0 | -0.1430 | -4.190 |
| 16 | 1.3 | -0.0758 | -5.290 |
| 17 | 4.4 | -0.1430 | -3.481 |
| 18 | 0.0 | -0.0700 | -4.424 |
| 19 | 0.0 | -0.1357 | -5.145 |
| 20 | 0.0 | -0.0068 | -4.117 |